No. 1
Computed, not measured: a relaxed NaCaSc2Mn crystal at the PBE level of DFT.

The structure in extended XYZ format:
```
5
Lattice="5.3046 0.0000 0.0000 0.0000 5.3046 0.0000 0.0000 0.0000 5.0619" Properties=species:S:1:pos:R:3 pbc="T T T"
Na 0.0000 0.0000 0.0000
Ca 2.6523 2.6523 2.5310
Sc 0.0000 2.6523 0.0000
Sc 2.6523 0.0000 0.0000
Mn 0.0000 0.0000 2.5310
```

Computed properties:
Spin magnetization = 1.92 μB/f.u.
Uncorrected energy = -4.059 eV/atom
ΔE_f = 0.971 eV per atom
Calculated volume = 142 Å³ per cell
Density of states at the Fermi level = 6.046 states/eV/f.u.


No. 2
Computed, not measured: a relaxed Zr3CdAg crystal at the PBE level of DFT.

The structure in extended XYZ format:
```
5
Lattice="5.1530 0.0000 0.0000 0.0000 5.1530 0.0000 0.0000 0.0000 5.1530" Properties=species:S:1:pos:R:3 pbc="T T T"
Zr 0.0000 0.0000 2.5765
Zr 0.0000 2.5765 0.0000
Zr 2.5765 0.0000 0.0000
Cd 2.5765 2.5765 2.5765
Ag 0.0000 0.0000 0.0000
```

Computed properties:
Spin magnetization = 0.00 μB/f.u.
Energy relative to the lowest polymorph listed for this composition = 0 meV/atom
Uncorrected energy = -5.035 eV/atom
ΔE_f = 0.847 eV per atom
Calculated volume = 137 Å³ per cell
Density of states at the Fermi level = 8.289 states/eV/f.u.


No. 3
Computed, not measured: a relaxed Li3ZnAg crystal at the PBE level of DFT.

The structure in extended XYZ format:
```
20
Lattice="4.6649 0.0000 0.0000 0.0000 9.8991 0.0000 0.0000 0.0000 7.7986" Properties=species:S:1:pos:R:3 pbc="T T T"
Li 0.0111 0.8359 1.1974
Li 0.0111 4.1137 1.1974
Li 0.0444 2.4748 6.5761
Li 2.2880 7.4243 2.6768
Li 2.3213 5.7854 5.0967
Li 2.3213 9.0633 5.0967
Li 2.3435 0.8359 2.7019
Li 2.3435 4.1137 2.7019
Li 2.3769 2.4748 5.1217
Li 4.6204 7.4243 1.2224
Li 4.6537 5.7854 6.6012
Li 4.6537 9.0633 6.6012
Zn 0.0312 2.4748 3.3550
Zn 2.3012 7.4243 7.2543
Zn 2.3636 2.4748 0.5443
Zn 4.6337 7.4243 4.4436
Ag 0.0000 0.0000 3.8993
Ag 0.0000 4.9496 3.8993
Ag 2.3324 0.0000 0.0000
Ag 2.3324 4.9496 0.0000
```

Computed properties:
Spin magnetization = 0.00 μB/f.u.
Energy relative to the lowest polymorph listed for this composition = 78 meV/atom
Uncorrected energy = -2.070 eV/atom
ΔE_f = -0.096 eV per atom
Calculated volume = 360 Å³ per cell
Density of states at the Fermi level = 1.483 states/eV/f.u.


No. 4
Computed, not measured: a relaxed Ac2Tm2Mg15 crystal at the PBE level of DFT.

The structure in extended XYZ format:
```
19
Lattice="5.3241 3.0738 5.1588 -5.3241 3.0738 5.1588 0.0000 -6.1477 5.1588" Properties=species:S:1:pos:R:3 pbc="T T T"
Ac 0.0000 0.0000 2.5296
Ac 0.0000 0.0000 12.9469
Tm 0.0000 0.0000 6.1837
Tm 0.0000 0.0000 9.2928
Mg -2.6620 -1.5369 5.1588
Mg 0.0000 -3.1115 4.8669
Mg -2.6946 1.5557 4.8669
Mg -1.5481 -2.6814 7.7382
Mg -3.0962 0.0000 7.7382
Mg -2.6946 -1.5557 10.6095
Mg -2.6620 1.5369 10.3176
Mg 1.5481 -2.6814 7.7382
Mg 0.0000 3.0738 5.1588
Mg -1.5481 2.6814 7.7382
Mg 2.6946 1.5557 4.8669
Mg 3.0962 0.0000 7.7382
Mg 1.5481 2.6814 7.7382
Mg 2.6946 -1.5557 10.6095
Mg 0.0000 3.1115 10.6095
```

Computed properties:
Spin magnetization = 0.00 μB/f.u.
Uncorrected energy = -2.202 eV/atom
ΔE_f = -0.040 eV per atom
Calculated volume = 507 Å³ per cell
Density of states at the Fermi level = 14.033 states/eV/f.u.


No. 5
Computed, not measured: a relaxed AcNbCo crystal at the PBE level of DFT.

The structure in extended XYZ format:
```
12
Lattice="11.3555 0.0000 0.0000 0.0000 4.8123 0.0000 0.0000 0.0000 4.9396" Properties=species:S:1:pos:R:3 pbc="T T T"
Ac 1.8793 0.0000 0.0000
Ac 1.8793 2.4061 2.4698
Ac 9.4762 0.0000 0.0000
Ac 9.4762 2.4061 2.4698
Nb 4.4620 0.0000 2.4412
Nb 4.4620 2.4061 4.9110
Nb 6.8935 0.0000 2.4412
Nb 6.8935 2.4061 4.9110
Co 0.0000 0.0000 2.4597
Co 0.0000 2.4061 4.9295
Co 5.6777 0.0000 0.1741
Co 5.6777 2.4061 2.6438
```

Computed properties:
Spin magnetization = 0.48 μB/f.u.
Uncorrected energy = -6.700 eV/atom
ΔE_f = 0.395 eV per atom
Calculated volume = 270 Å³ per cell
Density of states at the Fermi level = 3.520 states/eV/f.u.


No. 6
Computed, not measured: a relaxed CrReW2 crystal at the PBE level of DFT.

The structure in extended XYZ format:
```
16
Lattice="6.1955 0.0000 0.0000 0.0000 6.1955 0.0000 0.0000 0.0000 6.1955" Properties=species:S:1:pos:R:3 pbc="T T T"
Cr 0.0000 0.0000 0.0000
Cr 0.0000 3.0977 3.0977
Cr 3.0977 0.0000 3.0977
Cr 3.0977 3.0977 0.0000
Re 0.0000 0.0000 3.0977
Re 0.0000 3.0977 0.0000
Re 3.0977 0.0000 0.0000
Re 3.0977 3.0977 3.0977
W 1.5489 1.5489 1.5489
W 1.5489 1.5489 4.6466
W 1.5489 4.6466 1.5489
W 1.5489 4.6466 4.6466
W 4.6466 1.5489 1.5489
W 4.6466 1.5489 4.6466
W 4.6466 4.6466 1.5489
W 4.6466 4.6466 4.6466
```

Computed properties:
Spin magnetization = 0.00 μB/f.u.
Energy relative to the lowest polymorph listed for this composition = 5 meV/atom
Uncorrected energy = -11.963 eV/atom
ΔE_f = 0.032 eV per atom
Calculated volume = 238 Å³ per cell
Density of states at the Fermi level = 3.289 states/eV/f.u.


Which value of spin magnetization does entry 6 give? 0.00 μB/f.u.


calculated volume of number 6 (CrReW2)? 238 Å³ per cell